Zr4ICl2 | PBE | relaxed

abc: 5.2720 5.2720 7.6339
angles: 69.80 69.80 90.00
Last column: nearest neighbours and their distance in Å.
Fractional positions:
I  0.0000  0.0000  0.0000  6 Zr 2.64-2.87
Zr  0.7849  0.7849  0.4302  1 Cl 2.45
Zr  0.2151  0.2151  0.5698  1 Cl 2.45
Zr  0.0000  0.5000  0.0000  2 I 2.64
Zr  0.5000  0.0000  0.0000  2 I 2.64
Cl  0.6012  0.6012  0.7976  1 Zr 2.45, 1 Cl 2.70
Cl  0.3988  0.3988  0.2024  1 Zr 2.45, 1 Cl 2.70

Summary:
ΔE_f (raw) in meV/atom: 447
Spin magnetization in μB per atom: 0.220
Calculated total energy in eV/cell: -36.31
ρ in kg/m3: 5047
N(E_F) in states/eV/f.u.: 6.11
Space group: I4/mmm, No. 139